Material: YMgCl2
Method: DFT, GGA-PBE
State: relaxed

POSCAR file:
```
YMgCl2
1.0
5.202 0.000 0.000
2.601 4.505 0.000
2.601 1.502 4.247
Cl Mg Y
2 1 1
direct
0.000 0.000 0.000
0.250 0.250 0.250
0.500 0.500 0.500
0.750 0.750 0.750
```

Summary:
As for the distance to the lowest polymorph of the same formula: 765 meV per atom. The calculation puts the total energy at -13.72 eV per cell. The uncorrected formation energy is -1.96 eV/f.u.